Compound: Y3CrAu
Source: the Alexandria database
Functional: GGA-PBE
Structure: relaxed

a b c (Å): 5.102 5.102 5.102
angles (deg): 90.00 90.00 90.00
Sites, in units of the cell vectors:
Y (0.000, 0.500, 0.000)
Y (0.000, 0.000, 0.500)
Y (0.500, 0.000, 0.000)
Cr (0.000, 0.000, 0.000)
Au (0.500, 0.500, 0.500)

Volume (Å³ per cell): 132.8
Relative energy among the computed polymorphs (meV per atom): 0.0
Spin magnetization (μB per formula unit): 0.0
Calculated total energy (eV/atom): -6.15
E_form (eV per atom): 0.31

Compound: Y2CrAu
Source: the Alexandria database
Functional: GGA-PBE
Structure: relaxed

a b c (Å): 3.772 3.772 6.857
angles (deg): 90.00 90.00 90.00
Last column: magnetic moment on the atom in μB.
Sites, in units of the cell vectors:
Au (0.000, 0.000, 0.509)  0.03
Cr (0.500, 0.500, 0.739)  3.75
Y (0.000, 0.000, 0.952)  -0.10
Y (0.500, 0.500, 0.300)  -0.11

Volume (Å³ per cell): 97.6
Relative energy among the computed polymorphs (meV per atom): 163.5
Spin magnetization (μB per formula unit): 3.8
Calculated total energy (eV/atom): -6.52
E_form (eV per atom): -0.07

Compound: Y4CrAu
Source: the Alexandria database
Functional: GGA-PBE
Structure: relaxed

a b c (Å): 6.173 6.173 6.173
angles (deg): 60.00 60.00 60.00
Last column: magnetic moment on the atom in μB.
Sites, in units of the cell vectors:
Y (0.875, 0.375, 0.375)  -0.06
Y (0.375, 0.375, 0.875)  -0.06
Y (0.375, 0.875, 0.375)  -0.06
Y (0.375, 0.375, 0.375)  -0.06
Cr (0.000, 0.000, 0.000)  3.85
Au (0.750, 0.750, 0.750)  -0.01

Volume (Å³ per cell): 166.4
Spin magnetization (μB per formula unit): 4.1
Calculated total energy (eV/atom): -5.85
E_form (eV per atom): 0.61